1.
Below is a relaxed structure of Na2Cd2InHg7, with properties calculated at the PBE-GGA level.

abc: 4.9142 4.9142 15.1620
angles: 69.06 69.06 85.45
Sites, in units of the cell vectors:
Na1 0.6797 0.6797 0.3224
Na2 0.3203 0.3203 0.6776
Cd1 0.7937 0.7937 0.7015
Cd2 0.2063 0.2063 0.2985
In1 0.0000 0.0000 0.0000
Hg1 0.5000 0.5000 0.0000
Hg2 0.2158 0.2158 0.5004
Hg3 0.7842 0.7842 0.4996
Hg4 0.8445 0.3423 0.1611
Hg5 0.3423 0.8445 0.1611
Hg6 0.6577 0.1555 0.8389
Hg7 0.1555 0.6577 0.8389

Results
**DFT total energy**: -0.858 eV per atom
**Energy of formation**: -0.081 eV per atom
**Magnetization**: 0.0 μB per formula unit
**Density of states at the Fermi level**: 3.3 states/eV/f.u.
**Crystal system**: monoclinic

---

2.
Below is a relaxed structure of Li3Y2HoTe6, with properties calculated at the PBE-GGA level.

abc: 7.5152 7.5152 7.4922
angles: 99.62 99.62 120.00
Sites, in units of the cell vectors:
Li1 0.1674 0.8326 0.5000
Li2 0.8326 0.1674 0.5000
Li3 0.5000 0.5000 0.5000
Y1 0.3334 0.6666 0.0000
Y2 0.6666 0.3334 0.0000
Ho1 0.0000 0.0000 0.0000
Te1 0.9150 0.5829 0.7447
Te2 0.7531 0.7531 0.2553
Te3 0.0850 0.4171 0.2553
Te4 0.5829 0.9150 0.7447
Te5 0.2469 0.2469 0.7447
Te6 0.4171 0.0850 0.2553

Results
**DFT total energy**: -4.808 eV per atom
**Magnetization**: 0.0 μB per formula unit
**Uncorrected formation energy**: -1.300 eV/atom
**Crystal system**: monoclinic

---

3.
Below is a relaxed structure of SbRuCl2, with properties calculated at the PBE-GGA level.

abc: 6.5476 6.5476 6.5476
angles: 151.88 139.51 50.02
Sites, in units of the cell vectors:
Sb1 0.3211 0.8211 0.5000
Cl1 0.9914 0.9914 0.0000
Cl2 0.6930 0.1930 0.5000
Ru1 0.4945 0.4945 0.0000

Results
**DFT total energy**: -4.183 eV per atom
**Magnetization**: 0.0 μB per formula unit
**Density of states at the Fermi level**: 2.3 states/eV/f.u.
**Uncorrected formation energy**: 0.089 eV/atom
**Crystal system**: orthorhombic

---

4.
Below is a relaxed structure of LaTcSe2, with properties calculated at the PBE-GGA level.

abc: 6.4250 6.4250 6.4250
angles: 142.99 142.99 53.33
Site moments in Bohr magnetons follow the coordinates.
Sites, in units of the cell vectors:
La1 0.7500 0.2500 0.5000  0.00
Se1 0.0000 0.0000 0.0000  0.06
Se2 0.2500 0.7500 0.5000  0.09
Tc1 0.5000 0.5000 0.0000  2.85

Results
**DFT total energy**: -5.924 eV per atom
**Magnetization**: 3.5 μB per formula unit
**Density of states at the Fermi level**: 3.5 states/eV/f.u.
**Uncorrected formation energy**: -0.359 eV/atom
**Crystal system**: tetragonal

---

5.
Below is a relaxed structure of BaY2Si, with properties calculated at the PBE-GGA level.

abc: 6.0947 6.0947 10.5390
angles: 73.19 73.19 90.00
Sites, in units of the cell vectors:
Y1 0.3763 0.1250 0.2500
Y2 0.3737 0.6250 0.2500
Y3 0.3750 0.6237 0.7500
Y4 0.8750 0.6263 0.7500
Si1 0.5000 0.5000 0.0000
Si2 0.2500 0.7500 0.5000
Ba1 0.0000 0.0000 0.0000
Ba2 0.7500 0.2500 0.5000

Results
**DFT total energy**: -4.653 eV per atom
**Magnetization**: 0.0 μB per formula unit
**Density of states at the Fermi level**: 5.5 states/eV/f.u.
**Uncorrected formation energy**: 0.415 eV/atom
**Crystal system**: tetragonal

---

6.
Below is a relaxed structure of Zr4P3, with properties calculated at the PBE-GGA level.

abc: 10.5845 10.5845 10.5845
angles: 160.48 160.48 27.74
Sites, in units of the cell vectors:
Zr1 0.8336 0.8336 0.0000
Zr2 0.1664 0.1664 0.0000
Zr3 0.5685 0.5685 0.0000
Zr4 0.4315 0.4315 0.0000
P1 0.0000 0.0000 0.0000
P2 0.6968 0.6968 0.0000
P3 0.3032 0.3032 0.0000

Results
**DFT total energy**: -8.131 eV per atom
**Energy of formation**: -0.928 eV per atom
**Magnetization**: 0.0 μB per formula unit
**Density of states at the Fermi level**: 1.9 states/eV/f.u.
**Crystal system**: tetragonal

---

7.
Below is a relaxed structure of RePbW2, with properties calculated at the PBE-GGA level.

abc: 5.2206 5.2206 5.2206
angles: 135.32 135.32 65.04
Sites, in units of the cell vectors:
Pb1 0.2500 0.7500 0.5000
Re1 0.7500 0.2500 0.5000
W1 0.0000 0.0000 0.0000
W2 0.5000 0.5000 0.0000

Results
**DFT total energy**: -9.609 eV per atom
**Energy of formation**: 0.907 eV per atom
**Magnetization**: 0.0 μB per formula unit
**Density of states at the Fermi level**: 4.1 states/eV/f.u.
**Crystal system**: tetragonal

---

8.
Below is a relaxed structure of AcInBi, with properties calculated at the PBE-GGA level.

abc: 5.4527 5.4527 5.4527
angles: 60.00 60.00 60.00
Sites, in units of the cell vectors:
Ac1 0.5000 0.5000 0.5000
Bi1 0.0000 0.0000 0.0000
In1 0.2500 0.2500 0.2500

Results
**DFT total energy**: -3.864 eV per atom
**Energy of formation**: -0.288 eV per atom
**Magnetization**: 0.0 μB per formula unit
**Density of states at the Fermi level**: 1.6 states/eV/f.u.
**Crystal system**: cubic

---

9.
Below is a relaxed structure of Ce3SmHo4Se8, with properties calculated at the PBE-GGA level.

abc: 8.2062 8.2960 8.2062
angles: 119.64 120.00 90.00
Site moments in Bohr magnetons follow the coordinates.
Sites, in units of the cell vectors:
Ce1 0.5000 0.5000 0.0000  0.79
Ce2 0.5000 0.5000 0.5000  0.79
Ce3 0.0000 0.5000 0.5000  0.79
Sm1 0.0000 0.5000 0.0000  0.03
Ho1 0.5000 0.0000 0.0000  0.02
Ho2 0.5000 0.0000 0.5000  -0.01
Ho3 0.0000 0.0000 0.0000  -0.01
Ho4 0.0000 0.0000 0.5000  -0.01
Se1 0.2537 0.7626 0.0089  0.00
Se2 0.2537 0.7625 0.5074  0.00
Se3 0.2454 0.2363 0.4909  -0.01
Se4 0.7552 0.7626 0.0089  0.00
Se5 0.2448 0.2374 0.9911  0.00
Se6 0.7546 0.7637 0.5091  -0.01
Se7 0.7463 0.2375 0.4926  0.00
Se8 0.7463 0.2374 0.9911  0.00

Results
**DFT total energy**: -6.077 eV per atom
**Magnetization**: 3.0 μB per formula unit
**Density of states at the Fermi level**: 21.2 states/eV/f.u.
**Uncorrected formation energy**: -1.783 eV/atom
**Crystal system**: trigonal

---

10.
Below is a relaxed structure of SrLaMo, with properties calculated at the PBE-GGA level.

abc: 7.1580 7.1060 3.7337
angles: 75.60 74.06 30.35
Sites, in units of the cell vectors:
La1 0.9545 0.9545 0.0455
Mo1 0.3559 0.3559 0.6441
Sr1 0.6896 0.6896 0.3104

Results
**DFT total energy**: -5.137 eV per atom
**Energy of formation**: 0.677 eV per atom
**Magnetization**: 0.0 μB per formula unit
**Density of states at the Fermi level**: 4.7 states/eV/f.u.
**Crystal system**: orthorhombic

---

11.
Below is a relaxed structure of BaY2Mn, with properties calculated at the PBE-GGA level.

abc: 5.6730 5.6730 5.6730
angles: 60.00 60.00 60.00
Site moments in Bohr magnetons follow the coordinates.
Sites, in units of the cell vectors:
Ba1 0.5000 0.5000 0.5000  -0.06
Mn1 0.7500 0.7500 0.7500  4.02
Y1 0.0000 0.0000 0.0000  -0.30
Y2 0.2500 0.2500 0.2500  -0.29

Results
**DFT total energy**: -5.470 eV per atom
**Energy of formation**: 0.535 eV per atom
**Magnetization**: 3.1 μB per formula unit
**Density of states at the Fermi level**: 6.2 states/eV/f.u.
**Crystal system**: cubic

---

12.
Below is a relaxed structure of BeNi4As, with properties calculated at the PBE-GGA level.

abc: 4.0751 4.7969 7.0246
angles: 90.00 90.00 90.00
Sites, in units of the cell vectors:
Be1 0.5000 0.0000 0.5000
Be2 0.0000 0.5000 0.5000
Ni1 0.9998 0.5856 0.1855
Ni2 0.5002 0.0856 0.8145
Ni3 0.4998 0.4016 0.3405
Ni4 0.0002 0.9016 0.6595
Ni5 0.0002 0.4144 0.8145
Ni6 0.4998 0.9144 0.1855
Ni7 0.5002 0.5984 0.6595
Ni8 0.9998 0.0984 0.3405
As1 0.0000 0.0000 0.0000
As2 0.5000 0.5000 0.0000

Results
**DFT total energy**: -5.371 eV per atom
**Energy of formation**: -0.121 eV per atom
**Magnetization**: 0.0 μB per formula unit
**Density of states at the Fermi level**: 4.6 states/eV/f.u.
**Crystal system**: orthorhombic

---

Q: What is the formula in the eleventh record?
A: BaY2Mn

---

Q: The highest magnetization belongs to which entry?
A: LaTcSe2

---

Q: Number 7 is which compound?
A: RePbW2